DFT (GGA+U) results for a relaxed structure of CrAuIO2.

The structure in extended XYZ format:
```
5
Lattice="-2.806 1.465 2.163 -2.610 -1.708 -2.229 0.213 -5.924 4.289" Properties=species:S:1:pos:R:3 pbc="T T T"
Au -2.602 -3.083 2.112
Cr 0.000 0.000 0.000
O -1.305 -0.854 -1.115
I 0.106 -2.962 2.145
O -1.403 0.733 1.081
```

Output
SG ... P4/mmm (123)
Volume ... 107.5 Å³/cell
Distance to the lowest polymorph of the same formula ... 0.000 eV per atom